[1]
{
  "formula": "AcTlPbSe3",
  "functional": "GGA-PBE",
  "state": "optimized geometry",
  "raw_formation_energy_ev_per_atom": -1.06,
  "lattice": [[9.481, 0.000, 0.000], [0.000, 4.416, 0.000], [-0.074, 0.000, 10.605]],
  "species": ["Ac", "Ac", "Tl", "Tl", "Pb", "Pb", "Se", "Se", "Se", "Se", "Se", "Se"],
  "frac_coords": [[0.116, 0.250, 0.339], [0.884, 0.750, 0.661], [0.356, 0.750, 0.657], [0.644, 0.250, 0.343], [0.364, 0.750, 0.089], [0.636, 0.250, 0.911], [0.110, 0.250, 0.636], [0.178, 0.250, 0.052], [0.350, 0.750, 0.358], [0.650, 0.250, 0.642], [0.822, 0.750, 0.948], [0.890, 0.750, 0.364]]
}

[2]
{
  "formula": "MnNiMo2",
  "functional": "GGA-PBE",
  "state": "optimized geometry",
  "e_form_ev_per_atom": 0.173,
  "lattice": [[3.157, 0.000, 0.000], [0.000, 3.157, 0.000], [0.000, 0.000, 5.400]],
  "species": ["Mn", "Ni", "Mo", "Mo"],
  "frac_coords": [[0.000, 0.000, 0.000], [0.000, 0.000, 0.500], [0.500, 0.500, 0.249], [0.500, 0.500, 0.751]]
}

[3]
{
  "formula": "Y2HPb",
  "functional": "GGA-PBE",
  "state": "optimized geometry",
  "total_energy_ev_per_atom": -5.43,
  "lattice": [[-3.512, 3.512, 3.741], [3.512, -3.512, 3.741], [3.512, 3.512, -3.741]],
  "species": ["Y", "Y", "Y", "Y", "H", "H", "Pb", "Pb"],
  "frac_coords": [[0.030, 0.125, 0.405], [0.375, 0.970, 0.095], [0.720, 0.625, 0.595], [0.875, 0.280, 0.905], [0.000, 0.000, 0.000], [0.750, 0.250, 0.500], [0.250, 0.750, 0.500], [0.500, 0.500, 0.000]]
}

[4]
{
  "formula": "AcMg2Cu2",
  "functional": "GGA-PBE",
  "state": "optimized geometry",
  "e_form_ev_per_atom": -0.164,
  "lattice": [[5.317, -2.130, 0.000], [5.317, 2.130, 0.000], [-1.308, 0.000, 5.111]],
  "species": ["Ac", "Mg", "Mg", "Cu", "Cu"],
  "frac_coords": [[0.000, 0.000, 0.000], [0.344, 0.344, 0.422], [0.656, 0.656, 0.578], [0.272, 0.272, 0.883], [0.728, 0.728, 0.117]]
}

[5]
{
  "formula": "V2GaSe2",
  "functional": "GGA-PBE",
  "state": "optimized geometry",
  "raw_formation_energy_ev_per_atom": -0.14,
  "lattice": [[-2.455, 2.455, 3.830], [2.455, -2.455, 3.830], [2.455, 2.455, -3.830]],
  "species": ["V", "V", "Ga", "Se", "Se"],
  "frac_coords": [[0.129, 0.129, 0.000], [0.871, 0.871, 0.000], [0.500, 0.500, 0.000], [0.250, 0.750, 0.500], [0.750, 0.250, 0.500]]
}

[6]
{
  "formula": "Ag2IrBr",
  "functional": "GGA-PBE",
  "state": "optimized geometry",
  "raw_formation_energy_ev_per_atom": 0.63,
  "lattice": [[2.774, -4.556, 0.000], [2.774, 4.556, 0.000], [0.000, 0.000, 2.890]],
  "species": ["Ag", "Ag", "Ir", "Br"],
  "frac_coords": [[0.000, 0.500, 0.000], [0.500, 0.000, 0.000], [0.000, 0.000, 0.500], [0.500, 0.500, 0.500]]
}

[7]
{
  "formula": "Cd2SiSe",
  "functional": "GGA-PBE",
  "state": "optimized geometry",
  "raw_formation_energy_ev_per_atom": 0.27,
  "lattice": [[-1.997, 1.997, 5.659], [1.997, -1.997, 5.659], [1.997, 1.997, -5.659]],
  "species": ["Cd", "Cd", "Si", "Se"],
  "frac_coords": [[0.250, 0.750, 0.500], [0.750, 0.250, 0.500], [0.000, 0.000, 0.000], [0.500, 0.500, 0.000]]
}

[8]
{
  "formula": "LiCaNdMg",
  "functional": "GGA-PBE",
  "state": "optimized geometry",
  "e_form_ev_per_atom": -0.001,
  "lattice": [[0.000, 3.905, 3.905], [3.905, 0.000, 3.905], [3.905, 3.905, 0.000]],
  "species": ["Li", "Ca", "Nd", "Mg"],
  "frac_coords": [[0.000, 0.000, 0.000], [0.250, 0.250, 0.250], [0.750, 0.750, 0.750], [0.500, 0.500, 0.500]]
}

no.,volume (A^3/atom)
1,37.0
2,13.5
3,23.1
4,23.2
5,18.5
6,18.3
7,22.6
8,29.8